P | {
  "formula": "TeOsSN2",
  "functional": "PBE-GGA",
  "state": "optimized geometry",
  "space_group": "P4/mmm (123)",
  "n_ef_per_ev_atom": 1.11,
  "density_kg_m3": 6517,
  "cell": [[-1.139, 2.394, 2.418], [-3.169, 0.182, -1.673], [-2.583, -5.559, 4.286]],
  "species": ["N", "Os", "S", "N", "Te"],
  "frac_coords": [[0.500, 0.000, 0.000], [0.500, 0.500, 0.500], [0.000, 0.000, 0.000], [0.000, 0.500, 0.000], [0.000, 0.000, 0.500]]
}

***

Q | {
  "formula": "TeOsSN2",
  "functional": "PBE-GGA",
  "state": "optimized geometry",
  "space_group": "P4/mmm (123)",
  "n_ef_per_ev_atom": 0.70,
  "density_kg_m3": 7984,
  "cell": [[3.859, 0.000, 0.000], [0.000, 3.859, 0.000], [0.000, 0.000, 5.278]],
  "species": ["N", "Te", "Os", "N", "S"],
  "frac_coords": [[0.500, 0.000, 0.000], [0.500, 0.500, 0.500], [0.000, 0.000, 0.000], [0.000, 0.500, 0.000], [0.000, 0.000, 0.500]]
}

***

R | {
  "formula": "TeOsSN2",
  "functional": "PBE-GGA",
  "state": "optimized geometry",
  "space_group": "P4/mmm (123)",
  "n_ef_per_ev_atom": 0.30,
  "density_kg_m3": 7380,
  "cell": [[3.795, 0.000, 0.000], [0.000, 3.795, 0.000], [0.000, 0.000, 5.903]],
  "species": ["Os", "N", "Te", "S", "N"],
  "frac_coords": [[0.000, 0.000, 0.000], [0.000, 0.500, 0.000], [0.000, 0.000, 0.500], [0.500, 0.500, 0.500], [0.500, 0.000, 0.000]]
}

***

Which is most stable? The ranking, best first, is R, Q, P.

***

P | {
  "formula": "TiOsS2N",
  "functional": "PBE-GGA",
  "state": "optimized geometry",
  "space_group": "P4/mmm (123)",
  "n_ef_per_ev_atom": 1.05,
  "density_kg_m3": 6377,
  "cell": [[4.753, 0.000, 0.000], [0.000, 4.753, 0.000], [0.000, 0.000, 3.646]],
  "species": ["S", "S", "Ti", "N", "Os"],
  "frac_coords": [[0.000, 0.500, 0.000], [0.500, 0.000, 0.000], [0.000, 0.000, 0.000], [0.000, 0.000, 0.500], [0.500, 0.500, 0.500]]
}

***

Q | {
  "formula": "TiOsS2N",
  "functional": "PBE-GGA",
  "state": "optimized geometry",
  "space_group": "P4/mmm (123)",
  "n_ef_per_ev_atom": 1.32,
  "density_kg_m3": 6271,
  "cell": [[4.783, 0.000, 0.000], [0.000, 4.783, 0.000], [0.000, 0.000, 3.660]],
  "species": ["S", "N", "S", "Os", "Ti"],
  "frac_coords": [[0.000, 0.500, 0.000], [0.000, 0.000, 0.500], [0.500, 0.000, 0.000], [0.000, 0.000, 0.000], [0.500, 0.500, 0.500]]
}

***

Which is most stable? The ranking, best first, is Q, P.